Compound: BaLaRhI
Source: the Alexandria database
Functional: GGA-PBE
Structure: relaxed Values from VASP.

The value obtained for the formation energy from raw total energies is -935 meV/atom. The theoretical density comes out at 5970 kg/m³. As for the space-group type: R3m.

Geometry as Quantum ESPRESSO input:
```
&SYSTEM
  ibrav = 0, nat = 4, ntyp = 4
/
ATOMIC_SPECIES
Ba 137.33 Ba.upf
La 138.91 La.upf
Rh 102.91 Rh.upf
I 126.90 I.upf
ATOMIC_POSITIONS crystal
Ba 0.502 0.149 0.666
La 0.094 0.945 0.054
Rh 0.326 0.561 0.903
I 0.956 0.376 0.347
CELL_PARAMETERS angstrom
4.333 -0.002 0.000
-2.168 3.756 0.000
-2.164 -1.249 8.651
```



Compound: Li5Ga3
Source: the Alexandria database
Functional: GGA-PBE
Structure: relaxed Values from VASP.

The theoretical density comes out at 3020 kg/m³. As for the space-group type: R-3m. The calculation puts the formation energy at -194 meV/atom.

Geometry as Quantum ESPRESSO input:
```
&SYSTEM
  ibrav = 0, nat = 8, ntyp = 2
/
ATOMIC_SPECIES
Li 6.94 Li.upf
Ga 69.72 Ga.upf
ATOMIC_POSITIONS crystal
Li 0.263 0.263 0.212
Li 0.120 0.120 0.641
Li 0.500 0.500 0.500
Li 0.880 0.880 0.359
Li 0.737 0.737 0.788
Ga 0.000 0.000 0.000
Ga 0.615 0.615 0.156
Ga 0.385 0.385 0.844
CELL_PARAMETERS angstrom
4.307 0.000 1.300
1.957 3.837 1.300
-0.088 -0.054 8.078
```



> The highest theoretical density belongs to which entry?

BaLaRhI



Please write out number 2 again, unchanged.
Compound: Li5Ga3
Source: the Alexandria database
Functional: GGA-PBE
Structure: relaxed Values from VASP.

The theoretical density comes out at 3020 kg/m³. As for the space-group type: R-3m. The calculation puts the formation energy at -194 meV/atom.

Geometry as Quantum ESPRESSO input:
```
&SYSTEM
  ibrav = 0, nat = 8, ntyp = 2
/
ATOMIC_SPECIES
Li 6.94 Li.upf
Ga 69.72 Ga.upf
ATOMIC_POSITIONS crystal
Li 0.263 0.263 0.212
Li 0.120 0.120 0.641
Li 0.500 0.500 0.500
Li 0.880 0.880 0.359
Li 0.737 0.737 0.788
Ga 0.000 0.000 0.000
Ga 0.615 0.615 0.156
Ga 0.385 0.385 0.844
CELL_PARAMETERS angstrom
4.307 0.000 1.300
1.957 3.837 1.300
-0.088 -0.054 8.078
```



> Which value of theoretical density does entry 2 give?

3020 kg/m³



> theoretical density of number 1 (BaLaRhI)?

5970 kg/m³